No. 1
The following is a PBE calculation of VZnCdN2 after structural relaxation, from the Alexandria database.

Properties
Total moment (μB/atom): 0.000
ΔE_f (raw) (eV per atom): 1.81
Density (g/cm³): 5.74
Energy (eV per cell): -18.9

Unit cell a=3.9224 b=4.8313 c=3.9224 alpha=90.00 beta=90.00 gamma=90.00
Element x y z (fractional)
V1 0.5000 0.5000 0.5000
N1 0.5000 0.0000 0.0000
Zn1 0.0000 0.0000 0.0000
N2 0.0000 0.0000 0.5000
Cd1 0.0000 0.5000 0.0000

---

No. 2
The following is a PBE calculation of La4TbEr5 after structural relaxation, from the Alexandria database.

Properties
Energy relative to the lowest polymorph listed for this composition (kJ/mol of formula units): 2
Total moment (μB/atom): 0.000
Formation energy (meV per atom): 197
Density (g/cm³): 7.43
Energy (eV per cell): -45.2

Unit cell a=3.5300 b=11.4743 c=8.7415 alpha=90.20 beta=101.65 gamma=90.00
Element x y z (fractional)
La1 0.0341 0.7493 0.0682
Er1 0.8277 0.4545 0.6554
La2 0.6637 0.2496 0.3274
Er2 0.1723 0.5455 0.3446
Tb1 0.5000 0.0000 0.0000
Er3 0.1730 0.9526 0.3460
La3 0.3363 0.7504 0.6726
Er4 0.5000 0.5000 0.0000
Er5 0.8270 0.0474 0.6540
La4 0.9659 0.2507 0.9318

---

- Which value of total moment does entry 2 give?
  0.000 μB/atom